Below is a geometry-optimized Ba2FeH structure, with properties calculated at the PBE level.

Computed properties:
- Energy: -0.25629 Ry/atom

a b c (Å): 7.5551 7.5551 8.8922
angles (deg): 90.00 90.00 90.00
Sites, in units of the cell vectors:
Ba 0.1829 0.7500 0.1250
Ba 0.2500 0.1829 0.8750
Ba 0.2500 0.3171 0.3750
Ba 0.3171 0.7500 0.6250
Ba 0.6829 0.2500 0.6250
Ba 0.7500 0.6829 0.3750
Ba 0.7500 0.8171 0.8750
Ba 0.8171 0.2500 0.1250
Fe 0.0000 0.0000 0.5000
Fe 0.0000 0.5000 0.7500
Fe 0.5000 0.0000 0.2500
Fe 0.5000 0.5000 0.0000
H 0.0000 0.0000 0.0000
H 0.0000 0.5000 0.2500
H 0.5000 0.0000 0.7500
H 0.5000 0.5000 0.5000

---

Below is a geometry-optimized BaFeH6 structure, with properties calculated at the PBE level.

Computed properties:
- Energy: -0.28528 Ry/atom

a b c (Å): 5.0318 5.0318 5.0318
angles (deg): 60.36 60.36 60.36
Sites, in units of the cell vectors:
Ba 0.0000 0.0000 0.0000
Fe 0.5000 0.5000 0.5000
H 0.1243 0.5840 0.5840
H 0.4160 0.4160 0.8757
H 0.4160 0.8757 0.4160
H 0.5840 0.1243 0.5840
H 0.5840 0.5840 0.1243
H 0.8757 0.4160 0.4160

---

Below is a geometry-optimized BaFeH2 structure, with properties calculated at the PBE level.

Computed properties:
- Energy: -0.30838 Ry/atom

a b c (Å): 5.5084 5.5084 7.4866
angles (deg): 90.00 90.00 90.00
Sites, in units of the cell vectors:
Ba 0.0000 0.0000 0.0000
Ba 0.0000 0.5000 0.2500
Ba 0.5000 0.0000 0.7500
Ba 0.5000 0.5000 0.5000
Fe 0.0000 0.0000 0.5000
Fe 0.0000 0.5000 0.7500
Fe 0.5000 0.0000 0.2500
Fe 0.5000 0.5000 0.0000
H 0.0937 0.2500 0.6250
H 0.2500 0.5937 0.8750
H 0.2500 0.9063 0.3750
H 0.4063 0.2500 0.1250
H 0.5937 0.7500 0.1250
H 0.7500 0.0937 0.3750
H 0.7500 0.4063 0.8750
H 0.9063 0.7500 0.6250

---

Below is a geometry-optimized Ba3Fe5H12 structure, with properties calculated at the PBE level.

Computed properties:
- Energy: -0.31574 Ry/atom

a b c (Å): 10.4944 10.4944 10.4944
angles (deg): 109.47 109.47 109.47
Sites, in units of the cell vectors:
Ba 0.1250 0.2500 0.3750
Ba 0.1250 0.3750 0.7500
Ba 0.2500 0.3750 0.1250
Ba 0.2500 0.8750 0.6250
Ba 0.3750 0.1250 0.2500
Ba 0.3750 0.7500 0.1250
Ba 0.6250 0.2500 0.8750
Ba 0.6250 0.8750 0.7500
Ba 0.7500 0.1250 0.3750
Ba 0.7500 0.6250 0.8750
Ba 0.8750 0.6250 0.2500
Ba 0.8750 0.7500 0.6250
Fe 0.0000 0.0000 0.0000
Fe 0.0000 0.0000 0.5000
Fe 0.0000 0.5000 0.0000
Fe 0.0000 0.5000 0.5000
Fe 0.1250 0.7500 0.8750
Fe 0.1250 0.8750 0.2500
Fe 0.2500 0.1250 0.8750
Fe 0.2500 0.6250 0.3750
Fe 0.3750 0.2500 0.6250
Fe 0.3750 0.6250 0.7500
Fe 0.5000 0.0000 0.0000
Fe 0.5000 0.0000 0.5000
Fe 0.5000 0.5000 0.0000
Fe 0.5000 0.5000 0.5000
Fe 0.6250 0.3750 0.2500
Fe 0.6250 0.7500 0.3750
Fe 0.7500 0.3750 0.6250
Fe 0.7500 0.8750 0.1250
Fe 0.8750 0.1250 0.7500
Fe 0.8750 0.2500 0.1250
H 0.0088 0.6723 0.0921
H 0.0088 0.8365 0.9167
H 0.0802 0.6635 0.6723
H 0.0802 0.9167 0.4079
H 0.0833 0.5921 0.9198
H 0.0833 0.9912 0.1635
H 0.0921 0.0088 0.6723
H 0.0921 0.5833 0.4198
H 0.1635 0.0833 0.9912
H 0.1635 0.5802 0.1723
H 0.1723 0.1635 0.5802
H 0.1723 0.5088 0.5921
H 0.3277 0.9079 0.9912
H 0.3277 0.9198 0.3365
H 0.3365 0.3277 0.9198
H 0.3365 0.5088 0.4167
H 0.4079 0.0802 0.9167
H 0.4079 0.8277 0.4912
H 0.4167 0.3365 0.5088
H 0.4167 0.5802 0.9079
H 0.4198 0.0921 0.5833
H 0.4198 0.8277 0.8365
H 0.4912 0.4079 0.8277
H 0.4912 0.5833 0.6635
H 0.5088 0.4167 0.3365
H 0.5088 0.5921 0.1723
H 0.5802 0.1723 0.1635
H 0.5802 0.9079 0.4167
H 0.5833 0.4198 0.0921
H 0.5833 0.6635 0.4912
H 0.5921 0.1723 0.5088
H 0.5921 0.9198 0.0833
H 0.6635 0.4912 0.5833
H 0.6635 0.6723 0.0802
H 0.6723 0.0802 0.6635
H 0.6723 0.0921 0.0088
H 0.8277 0.4912 0.4079
H 0.8277 0.8365 0.4198
H 0.8365 0.4198 0.8277
H 0.8365 0.9167 0.0088
H 0.9079 0.4167 0.5802
H 0.9079 0.9912 0.3277
H 0.9167 0.0088 0.8365
H 0.9167 0.4079 0.0802
H 0.9198 0.0833 0.5921
H 0.9198 0.3365 0.3277
H 0.9912 0.1635 0.0833
H 0.9912 0.3277 0.9079

---

Below is a geometry-optimized BaFeHg2H structure, with properties calculated at the PBE level.

Computed properties:
- Energy: -0.14922 Ry/atom

a b c (Å): 6.5623 6.5623 4.6536
angles (deg): 90.00 90.00 90.00
Sites, in units of the cell vectors:
Ba 0.0000 0.0000 0.0000
Fe 0.5000 0.5000 0.5000
Hg 0.0000 0.5000 0.0000
Hg 0.5000 0.0000 0.0000
H 0.0000 0.0000 0.5000

---

Below is a geometry-optimized KBaFe2H structure, with properties calculated at the PBE level.

Computed properties:
- Energy: -0.19944 Ry/atom

a b c (Å): 5.2010 5.2010 6.8014
angles (deg): 90.00 90.00 90.00
Sites, in units of the cell vectors:
K 0.0000 0.0000 0.0000
Ba 0.0000 0.0000 0.5000
Fe 0.0000 0.5000 0.0000
Fe 0.5000 0.0000 0.0000
H 0.5000 0.5000 0.5000

---

Below is a geometry-optimized Ba2LiFeH6 structure, with properties calculated at the PBE level.

Computed properties:
- Energy: -0.28172 Ry/atom

a b c (Å): 5.5556 5.5556 4.7891
angles (deg): 90.00 90.00 120.00
Sites, in units of the cell vectors:
Ba 0.3333 0.6667 0.2609
Ba 0.6667 0.3333 0.7391
Li 0.0000 0.0000 0.0000
Fe 0.0000 0.0000 0.5000
H 0.1430 0.2859 0.7059
H 0.1430 0.8570 0.7059
H 0.2859 0.1430 0.2941
H 0.7141 0.8570 0.7059
H 0.8570 0.1430 0.2941
H 0.8570 0.7141 0.2941

---

Below is a geometry-optimized BaMg2FeH8 structure, with properties calculated at the PBE level.

Computed properties:
- Energy: -0.27635 Ry/atom

a b c (Å): 4.5342 4.5342 6.9294
angles (deg): 90.00 90.00 120.00
Sites, in units of the cell vectors:
Ba 0.0000 0.0000 0.0000
Mg 0.3333 0.6667 0.6125
Mg 0.6667 0.3333 0.3875
Fe 0.0000 0.0000 0.5000
H 0.1603 0.3206 0.3634
H 0.1603 0.8397 0.3634
H 0.3206 0.1603 0.6366
H 0.3333 0.6667 0.8895
H 0.6667 0.3333 0.1105
H 0.6794 0.8397 0.3634
H 0.8397 0.1603 0.6366
H 0.8397 0.6794 0.6366

---

Below is a geometry-optimized BaMg2FeH8 structure, with properties calculated at the PBE level.

Computed properties:
- Energy: -0.27344 Ry/atom

a b c (Å): 5.3290 4.4992 5.5749
angles (deg): 90.00 101.29 90.00
Sites, in units of the cell vectors:
Ba 0.0000 0.0000 0.0000
Mg 0.4668 0.5000 0.7335
Mg 0.5332 0.5000 0.2665
Fe 0.5000 0.0000 0.5000
H 0.2541 0.5000 0.9699
H 0.2748 0.2354 0.4392
H 0.2748 0.7646 0.4392
H 0.4678 0.0000 0.7797
H 0.5322 0.0000 0.2203
H 0.7252 0.2354 0.5608
H 0.7252 0.7646 0.5608
H 0.7459 0.5000 0.0301

---

Below is a geometry-optimized BaMgFeH6 structure, with properties calculated at the PBE level.

Computed properties:
- Energy: -0.28411 Ry/atom

a b c (Å): 4.7785 4.7785 5.2137
angles (deg): 90.00 90.00 120.00
Sites, in units of the cell vectors:
Ba 0.0000 0.0000 0.0000
Mg 0.3333 0.6667 0.5000
Fe 0.6667 0.3333 0.5000
H 0.4372 0.0562 0.6966
H 0.4372 0.3811 0.3034
H 0.6189 0.0562 0.3034
H 0.6189 0.5628 0.6966
H 0.9438 0.3811 0.6966
H 0.9438 0.5628 0.3034

---

Below is a geometry-optimized Ba2MgFeH structure, with properties calculated at the PBE level.

Computed properties:
- Energy: -0.21500 Ry/atom

a b c (Å): 5.6498 5.6498 4.9038
angles (deg): 90.00 90.00 90.00
Sites, in units of the cell vectors:
Ba 0.0000 0.5000 0.0000
Ba 0.5000 0.0000 0.0000
Mg 0.0000 0.0000 0.5000
Fe 0.0000 0.0000 0.0000
H 0.5000 0.5000 0.5000

---

Below is a geometry-optimized BaMnFeH6 structure, with properties calculated at the PBE level.

Computed properties:
- Energy: -0.34025 Ry/atom

a b c (Å): 4.6783 4.6783 5.0355
angles (deg): 90.00 90.00 120.00
Sites, in units of the cell vectors:
Ba 0.0000 0.0000 0.0000
Mn 0.3333 0.6667 0.5000
Fe 0.6667 0.3333 0.5000
H 0.5089 0.0178 0.2862
H 0.5089 0.0178 0.7138
H 0.5089 0.4911 0.2862
H 0.5089 0.4911 0.7138
H 0.9822 0.4911 0.2862
H 0.9822 0.4911 0.7138